Here is crystalline Ca2AlGa3 at its relaxed geometry from the Alexandria database. Energies are from GGA-PBE.

```
6
Lattice="5.3334 -2.2663 0.0000 5.3334 2.2663 0.0000 -5.0640 0.0000 5.4025" Properties=species:S:1:pos:R:3 pbc="T T T"
Ca 0.0000 0.0000 0.0000
Ca -2.0331 0.0000 3.2185
Al 3.0908 0.0000 1.0692
Ga 1.1912 0.0000 3.1113
Ga 5.5138 0.0000 2.1525
Ga 7.4756 0.0000 0.0851
```

Output
Size of the total moment (μB/atom): 0.00
DFT total energy (eV per atom): -3.269


Here is crystalline Mg4BeOs at its relaxed geometry from the Alexandria database. Energies are from GGA-PBE.

```
6
Lattice="0.0000 3.7334 3.7334 3.7334 0.0000 3.7334 3.7334 3.7334 0.0000" Properties=species:S:1:pos:R:3 pbc="T T T"
Mg 0.9284 0.9284 0.9284
Mg 2.8050 2.8050 0.9284
Mg 2.8050 0.9284 2.8050
Mg 0.9284 2.8050 2.8050
Be 3.7334 3.7334 3.7334
Os 5.6002 5.6002 5.6002
```

Output
Size of the total moment (μB/atom): 0.00
DFT total energy (eV per atom): -2.814


Here is crystalline Mg2Sb at its relaxed geometry from the Alexandria database. Energies are from GGA-PBE.

```
3
Lattice="5.1210 0.0000 0.0000 -2.5605 4.4349 0.0000 0.0000 0.0000 3.2450" Properties=species:S:1:pos:R:3 pbc="T T T"
Mg 0.0000 2.9566 0.0000
Mg 2.5605 1.4783 0.0000
Sb 0.0000 0.0000 1.6225
```

Output
Size of the total moment (μB/atom): 0.00
DFT total energy (eV per atom): -2.406
Formation energy without anion corrections (kJ/mol of formula units): 9